Run i
# SrZnCdAg2 PBE optimized geometry
data_SrZnCdAg2
_chemical_formula_sum 'Sr1 Zn1 Cd1 Ag2'
_space_group_name_H-M_alt 'P 4/m m m'
_space_group_IT_number 123
_space_group_name_Hall '-P 4 2'
_cell_length_a 5.057
_cell_length_b 5.057
_cell_length_c 5.026
_cell_angle_alpha 90.00
_cell_angle_beta 90.00
_cell_angle_gamma 90.00
loop_
_atom_site_label
_atom_site_type_symbol
_atom_site_fract_x
_atom_site_fract_y
_atom_site_fract_z
Sr1 Sr 0.000 0.000 0.000
Zn1 Zn 0.500 0.500 0.500
Cd1 Cd 0.500 0.500 0.000
Ag1 Ag 0.000 0.500 0.500
# - total magnetic moment (μB/f.u.) = 0.0

Run ii
# SrZnCdAg2 PBE optimized geometry
data_SrZnCdAg2
_chemical_formula_sum 'Sr2 Zn2 Cd2 Ag4'
_space_group_name_H-M_alt 'I m m 2'
_space_group_IT_number 44
_cell_length_a 4.398
_cell_length_b 4.515
_cell_length_c 11.989
_cell_angle_alpha 90.00
_cell_angle_beta 90.00
_cell_angle_gamma 90.00
loop_
_space_group_symop_operation_xyz
'x,y,z'
'-x,-y,z'
'-x,y,z'
'x,-y,z'
'x+1/2,y+1/2,z+1/2'
'-x+1/2,-y+1/2,z+1/2'
'-x+1/2,y+1/2,z+1/2'
'x+1/2,-y+1/2,z+1/2'
loop_
_atom_site_label
_atom_site_type_symbol
_atom_site_fract_x
_atom_site_fract_y
_atom_site_fract_z
Sr1 Sr 0.000 0.000 0.000
Zn1 Zn 0.000 0.000 0.613
Cd1 Cd 0.000 0.500 0.745
Ag1 Ag 0.000 0.000 0.396
Ag2 Ag 0.000 0.500 0.245
# - total magnetic moment (μB/f.u.) = 0.0

Quick one: most stable of them? run ii

Run i
# Tb3Cd2Ag3 PBE optimized geometry
data_Tb3Cd2Ag3
_chemical_formula_sum 'Tb3 Cd2 Ag3'
_space_group_name_H-M_alt 'P -6 2 m'
_space_group_IT_number 189
_space_group_name_Hall 'P -6 -2'
_cell_length_a 7.4730
_cell_length_b 7.4730
_cell_length_c 4.0571
_cell_angle_alpha 90.00
_cell_angle_beta 90.00
_cell_angle_gamma 120.00
loop_
_atom_site_label
_atom_site_type_symbol
_atom_site_fract_x
_atom_site_fract_y
_atom_site_fract_z
Tb1 Tb 0.0000 0.6369 0.0000
Cd1 Cd 0.3333 0.6667 0.5000
Ag1 Ag 0.0000 0.2328 0.5000
# - total magnetic moment (μB/f.u.) = 0.0

Run ii
# Tb3Cd2Ag3 PBE optimized geometry
data_Tb3Cd2Ag3
_chemical_formula_sum 'Tb6 Cd4 Ag6'
_space_group_name_H-M_alt 'I m m m'
_space_group_IT_number 71
_space_group_name_Hall '-I 2 2'
_cell_length_a 3.714
_cell_length_b 5.134
_cell_length_c 20.001
_cell_angle_alpha 90.00
_cell_angle_beta 90.00
_cell_angle_gamma 90.00
loop_
_atom_site_label
_atom_site_type_symbol
_atom_site_fract_x
_atom_site_fract_y
_atom_site_fract_z
Tb1 Tb 0.000 0.000 0.000
Tb2 Tb 0.000 0.500 0.129
Cd1 Cd 0.000 0.000 0.238
Ag1 Ag 0.000 0.000 0.500
Ag2 Ag 0.000 0.500 0.376
# - total magnetic moment (μB/f.u.) = 0.0

Quick one: most stable of them? run ii

Run i
# Tb2Cd2Ag PBE optimized geometry
data_Tb2Cd2Ag
_chemical_formula_sum 'Tb4 Cd4 Ag2'
_space_group_name_H-M_alt 'C m m m'
_space_group_IT_number 65
_space_group_name_Hall '-C 2 2'
_cell_length_a 3.625
_cell_length_b 20.502
_cell_length_c 3.466
_cell_angle_alpha 90.00
_cell_angle_beta 90.00
_cell_angle_gamma 90.00
loop_
_atom_site_label
_atom_site_type_symbol
_atom_site_fract_x
_atom_site_fract_y
_atom_site_fract_z
Tb1 Tb 0.000 0.093 0.000
Cd1 Cd 0.000 0.305 0.500
Ag1 Ag 0.000 0.500 0.500
# - total magnetic moment (μB/f.u.) = 0.0

Run ii
# Tb2Cd2Ag PBE optimized geometry
data_Tb2Cd2Ag
_chemical_formula_sum 'Tb8 Cd8 Ag4'
_space_group_name_H-M_alt 'I b a m'
_space_group_IT_number 72
_space_group_name_Hall '-I 2 2c'
_cell_length_a 6.411
_cell_length_b 13.988
_cell_length_c 5.649
_cell_angle_alpha 90.00
_cell_angle_beta 90.00
_cell_angle_gamma 90.00
loop_
_atom_site_label
_atom_site_type_symbol
_atom_site_fract_x
_atom_site_fract_y
_atom_site_fract_z
Tb1 Tb 0.183 0.176 0.000
Cd1 Cd 0.146 0.411 0.000
Ag1 Ag 0.000 0.000 0.250
# - total magnetic moment (μB/f.u.) = 0.0

Quick one: most stable of them? run i

Run i
# TbCdAg2 PBE optimized geometry
data_TbCdAg2
_chemical_formula_sum 'Tb1 Cd1 Ag2'
_space_group_name_H-M_alt 'P 4/m m m'
_space_group_IT_number 123
_space_group_name_Hall '-P 4 2'
_cell_length_a 4.975
_cell_length_b 4.975
_cell_length_c 3.597
_cell_angle_alpha 90.00
_cell_angle_beta 90.00
_cell_angle_gamma 90.00
loop_
_atom_site_label
_atom_site_type_symbol
_atom_site_fract_x
_atom_site_fract_y
_atom_site_fract_z
Tb1 Tb 0.000 0.000 0.000
Cd1 Cd 0.500 0.500 0.000
Ag1 Ag 0.000 0.500 0.500
# - total magnetic moment (μB/f.u.) = 0.0

Run ii
# TbCdAg2 PBE optimized geometry
data_TbCdAg2
_chemical_formula_sum 'Tb1 Cd1 Ag2'
_space_group_name_H-M_alt 'P 4/m m m'
_space_group_IT_number 123
_space_group_name_Hall '-P 4 2'
_cell_length_a 3.583
_cell_length_b 3.583
_cell_length_c 6.854
_cell_angle_alpha 90.00
_cell_angle_beta 90.00
_cell_angle_gamma 90.00
loop_
_atom_site_label
_atom_site_type_symbol
_atom_site_fract_x
_atom_site_fract_y
_atom_site_fract_z
Tb1 Tb 0.000 0.000 0.000
Cd1 Cd 0.000 0.000 0.500
Ag1 Ag 0.500 0.500 0.265
# - total magnetic moment (μB/f.u.) = 0.0

Run iii
# TbCdAg2 PBE optimized geometry
data_TbCdAg2
_chemical_formula_sum 'Tb4 Cd4 Ag8'
_space_group_name_H-M_alt 'F m -3 m'
_space_group_IT_number 225
_space_group_name_Hall '-F 4 2 3'
_cell_length_a 7.013
_cell_length_b 7.013
_cell_length_c 7.013
_cell_angle_alpha 90.00
_cell_angle_beta 90.00
_cell_angle_gamma 90.00
loop_
_atom_site_label
_atom_site_type_symbol
_atom_site_fract_x
_atom_site_fract_y
_atom_site_fract_z
Tb1 Tb 0.000 0.000 0.000
Cd1 Cd 0.000 0.000 0.500
Ag1 Ag 0.250 0.250 0.250
# - total magnetic moment (μB/f.u.) = 0.0

Run iv
# TbCdAg2 PBE optimized geometry
data_TbCdAg2
_chemical_formula_sum 'Tb2 Cd2 Ag4'
_space_group_name_H-M_alt 'P m m n'
_space_group_IT_number 59
_cell_length_a 5.070
_cell_length_b 6.755
_cell_length_c 5.025
_cell_angle_alpha 90.00
_cell_angle_beta 90.00
_cell_angle_gamma 90.00
loop_
_space_group_symop_operation_xyz
'x,y,z'
'-x,-y,-z'
'-x+1/2,-y+1/2,z'
'x+1/2,y+1/2,-z'
'x+1/2,-y,-z'
'-x+1/2,y,z'
'-x,y+1/2,-z'
'x,-y+1/2,z'
loop_
_atom_site_label
_atom_site_type_symbol
_atom_site_fract_x
_atom_site_fract_y
_atom_site_fract_z
Tb1 Tb 0.250 0.250 0.195
Cd1 Cd 0.250 0.750 0.214
Ag1 Ag 0.250 0.506 0.695
# - total magnetic moment (μB/f.u.) = 0.0

Quick one: most stable of them? run iv

Run i
# TbCd6Ag PBE optimized geometry
data_TbCd6Ag
_chemical_formula_sum 'Tb2 Cd12 Ag2'
_space_group_name_H-M_alt 'A m m 2'
_space_group_IT_number 38
_cell_length_a 4.855
_cell_length_b 6.058
_cell_length_c 12.546
_cell_angle_alpha 90.00
_cell_angle_beta 90.00
_cell_angle_gamma 90.00
loop_
_space_group_symop_operation_xyz
'x,y,z'
'-x,-y,z'
'-x,y,z'
'x,-y,z'
'x,y+1/2,z+1/2'
'-x,-y+1/2,z+1/2'
'-x,y+1/2,z+1/2'
'x,-y+1/2,z+1/2'
loop_
_atom_site_label
_atom_site_type_symbol
_atom_site_fract_x
_atom_site_fract_y
_atom_site_fract_z
Tb1 Tb 0.000 0.000 0.000
Cd1 Cd 0.000 0.239 0.735
Cd2 Cd 0.500 0.000 0.161
Cd3 Cd 0.500 0.000 0.597
Cd4 Cd 0.500 0.243 0.883
Ag1 Ag 0.000 0.000 0.438
# - total magnetic moment (μB/f.u.) = 0.0

Run ii
# TbCd6Ag PBE optimized geometry
data_TbCd6Ag
_chemical_formula_sum 'Tb1 Cd6 Ag1'
_space_group_name_H-M_alt 'P 4/m m m'
_space_group_IT_number 123
_space_group_name_Hall '-P 4 2'
_cell_length_a 4.657
_cell_length_b 4.657
_cell_length_c 8.240
_cell_angle_alpha 90.00
_cell_angle_beta 90.00
_cell_angle_gamma 90.00
loop_
_atom_site_label
_atom_site_type_symbol
_atom_site_fract_x
_atom_site_fract_y
_atom_site_fract_z
Tb1 Tb 0.000 0.000 0.000
Cd1 Cd 0.000 0.500 0.265
Cd2 Cd 0.500 0.500 0.000
Cd3 Cd 0.500 0.500 0.500
Ag1 Ag 0.000 0.000 0.500
# - total magnetic moment (μB/f.u.) = 0.0

Quick one: most stable of them? run ii